(1)
Computed, not measured: crystalline Pr2ErPdO5 at its relaxed geometry at the PBE level of DFT.

Unit cell a=5.927 b=6.634 c=6.634 alpha=90.00 beta=90.00 gamma=90.00
Last column: magnetic moment on the atom in μB.
Atoms (fractional coordinates):
Pr 0.500 0.662 0.162  0.04
Pr 0.500 0.162 0.338  0.04
Pr 0.500 0.838 0.662  0.04
Pr 0.500 0.338 0.838  0.04
Er 0.000 0.500 0.500  -0.02
Er 0.000 0.000 0.000  -0.02
Pd 0.000 0.000 0.500  0.64
Pd 0.000 0.500 0.000  0.64
O 0.500 0.500 0.500  0.00
O 0.500 0.000 0.000  0.00
O 0.232 0.170 0.670  0.07
O 0.232 0.830 0.330  0.07
O 0.232 0.330 0.170  0.07
O 0.232 0.670 0.830  0.07
O 0.768 0.170 0.670  0.07
O 0.768 0.670 0.830  0.07
O 0.768 0.830 0.330  0.07
O 0.768 0.330 0.170  0.07

Results
M_tot = 2.00 Bohr magnetons per cell
Electronic total energy = -7.228 eV/atom
Space group = P4/mbm

(2)
Computed, not measured: crystalline ErSc2PdO at its relaxed geometry at the PBE level of DFT.

Unit cell a=4.331 b=4.331 c=4.739 alpha=90.00 beta=90.00 gamma=90.00
Atoms (fractional coordinates):
Er 0.000 0.000 0.500
Sc 0.000 0.500 0.000
Sc 0.500 0.000 0.000
Pd 0.500 0.500 0.500
O 0.000 0.000 0.000

Results
M_tot = 0.00 Bohr magnetons per cell
Electronic total energy = -6.980 eV/atom
Space group = P4/mmm

(3)
Computed, not measured: crystalline Er2ScPdO6 at its relaxed geometry at the PBE level of DFT.

Unit cell a=5.645 b=5.463 c=5.923 alpha=61.66 beta=59.74 gamma=60.28
Last column: magnetic moment on the atom in μB.
Atoms (fractional coordinates):
Er 0.522 0.534 0.416  0.01
Er 0.017 0.029 0.927  -0.01
Sc 0.812 0.813 0.566  0.03
Pd 0.318 0.319 0.044  0.56
O 0.624 0.180 0.274  0.13
O 0.196 0.943 0.258  0.03
O 0.944 0.599 0.259  0.02
O 0.440 0.692 0.764  0.02
O 0.690 0.102 0.769  0.02
O 0.098 0.451 0.738  0.13

Results
M_tot = 1.00 Bohr magnetons per cell
Electronic total energy = -7.734 eV/atom
Space group = P1

(4)
Computed, not measured: crystalline SrEr2PdO5 at its relaxed geometry at the PBE level of DFT.

Unit cell a=6.431 b=6.431 c=7.571 alpha=115.13 beta=115.13 gamma=90.00
Last column: magnetic moment on the atom in μB.
Atoms (fractional coordinates):
Sr 0.250 0.250 0.500  -0.01
Sr 0.750 0.750 0.500  -0.01
Er 0.172 0.328 0.000  0.05
Er 0.672 0.172 0.000  0.05
Er 0.328 0.828 0.000  0.05
Er 0.828 0.672 0.000  0.05
Pd 0.250 0.750 0.500  1.03
Pd 0.750 0.250 0.500  1.03
O 0.973 0.473 0.233  0.18
O 0.739 0.239 0.767  0.18
O 0.027 0.527 0.767  0.18
O 0.239 0.027 0.767  0.18
O 0.527 0.739 0.767  0.18
O 0.761 0.973 0.233  0.18
O 0.473 0.261 0.233  0.18
O 0.261 0.761 0.233  0.18
O 0.500 0.500 0.000  0.05
O 0.000 0.000 0.000  0.05

Results
M_tot = 4.03 Bohr magnetons per cell
Electronic total energy = -7.013 eV/atom
Space group = I4/mcm

(5)
Computed, not measured: crystalline Pm3ErO6 at its relaxed geometry at the PBE level of DFT.

Unit cell a=6.897 b=6.897 c=6.897 alpha=91.82 beta=91.82 gamma=91.82
Atoms (fractional coordinates):
Pm 0.443 0.936 0.748
Pm 0.936 0.748 0.443
Pm 0.252 0.557 0.064
Pm 0.748 0.443 0.936
Pm 0.064 0.252 0.557
Pm 0.557 0.064 0.252
Er 0.000 0.000 0.000
Er 0.500 0.500 0.500
O 0.309 0.910 0.067
O 0.090 0.933 0.691
O 0.597 0.810 0.467
O 0.933 0.691 0.090
O 0.467 0.597 0.810
O 0.190 0.533 0.403
O 0.810 0.467 0.597
O 0.533 0.403 0.190
O 0.067 0.309 0.910
O 0.403 0.190 0.533
O 0.910 0.067 0.309
O 0.691 0.090 0.933

Results
M_tot = 0.00 Bohr magnetons per cell
Polymorph energy (0 for the lowest one) = 0.000 eV/atom
Space group = R-3

(6)
Computed, not measured: crystalline Pm3ErO6 at its relaxed geometry at the PBE level of DFT.

Unit cell a=5.828 b=6.081 c=8.660 alpha=90.00 beta=90.29 gamma=90.00
Atoms (fractional coordinates):
Pm 0.521 0.949 0.752
Pm 0.500 0.500 0.000
Pm 0.479 0.051 0.248
Pm 0.021 0.551 0.252
Pm 0.000 0.000 0.500
Pm 0.979 0.449 0.748
Er 0.500 0.500 0.500
Er 0.000 0.000 0.000
O 0.695 0.187 0.923
O 0.684 0.197 0.583
O 0.648 0.423 0.257
O 0.352 0.577 0.743
O 0.316 0.803 0.417
O 0.305 0.813 0.077
O 0.195 0.313 0.423
O 0.184 0.303 0.083
O 0.148 0.077 0.757
O 0.852 0.923 0.243
O 0.816 0.697 0.917
O 0.805 0.687 0.577

Results
M_tot = 0.00 Bohr magnetons per cell
Polymorph energy (0 for the lowest one) = 0.085 eV/atom
Space group = P2_1/c

(7)
Computed, not measured: crystalline PmErO4 at its relaxed geometry at the PBE level of DFT.

Unit cell a=3.879 b=3.861 c=6.331 alpha=96.46 beta=90.00 gamma=120.15
Atoms (fractional coordinates):
Pm 0.445 0.890 0.480
Er 0.059 0.119 0.021
O 0.662 0.325 0.826
O 0.399 0.798 0.097
O 0.100 0.200 0.382
O 0.834 0.669 0.694

Results
M_tot = 0.00 Bohr magnetons per cell
Electronic total energy = -7.788 eV/atom
Space group = Cm

(8)
Computed, not measured: crystalline PmEr2O at its relaxed geometry at the PBE level of DFT.

Unit cell a=3.446 b=3.446 c=9.569 alpha=79.63 beta=79.63 gamma=60.00
Atoms (fractional coordinates):
Pm 0.000 0.000 0.000
O 0.500 0.500 0.500
Er 0.120 0.120 0.640
Er 0.880 0.880 0.360

Results
M_tot = 0.00 Bohr magnetons per cell
Polymorph energy (0 for the lowest one) = 0.000 eV/atom
Space group = R-3m

(9)
Computed, not measured: crystalline Pm2ErO at its relaxed geometry at the PBE level of DFT.

Unit cell a=3.603 b=3.603 c=9.457 alpha=79.02 beta=79.02 gamma=60.00
Atoms (fractional coordinates):
Pm 0.118 0.118 0.645
Pm 0.882 0.882 0.355
O 0.500 0.500 0.500
Er 0.000 0.000 0.000

Results
M_tot = 0.00 Bohr magnetons per cell
Electronic total energy = -5.894 eV/atom
Space group = R-3m

> Which formula does entry 5 have?

Pm3ErO6